SrTc2: relaxed, GGA-PBE.

Structure (POSCAR):
```
SrTc2
1.0
3.183 0.000 0.000
0.000 5.757 0.000
0.000 0.000 7.857
Tc Sr
4 2
Cartesian
0.801 2.878 0.848
0.790 0.000 4.776
2.393 0.000 3.080
2.382 2.878 7.009
1.591 2.878 3.928
0.000 0.000 0.000
```

Values from the calculation:
Calculated volume, Å³/atom: 24.0
Theoretical density, g/cm3: 6.5
Energy above the lowest structure with this stoichiometry, eV/atom: 0.735

=====

Be3AlPd: relaxed, GGA-PBE.

Structure (POSCAR):
```
Be3AlPd
1.0
4.207 0.000 0.000
0.000 4.207 0.000
0.000 0.000 4.207
Be Al Pd
3 1 1
Cartesian
2.104 0.000 0.000
0.000 0.000 2.104
0.000 2.104 0.000
0.000 0.000 0.000
2.104 2.104 2.104
```

Values from the calculation:
Calculated volume, Å³/atom: 14.9
Theoretical density, g/cm3: 3.6
Energy above the lowest structure with this stoichiometry, eV/atom: 0.521

=====

LiSm2Pt: relaxed, GGA-PBE.

Structure (POSCAR):
```
LiSm2Pt
1.0
-0.178 3.232 2.737
-3.230 2.740 -0.163
-5.121 -2.413 5.798
Li Sm Pt
1 2 1
Cartesian
-4.229 1.818 4.143
-1.906 1.139 1.813
-4.367 -1.580 4.863
-2.291 3.960 1.740
```

Values from the calculation:
Calculated volume, Å³/atom: 30.1
Theoretical density, g/cm3: 6.9
E, eV per atom: -4.812

=====

AlCdCl3: relaxed, GGA-PBE.

Structure (POSCAR):
```
AlCdCl3
1.0
4.878 0.000 0.000
0.000 4.878 0.000
0.000 0.000 4.878
Cl Cd Al
3 1 1
Cartesian
0.000 0.000 2.439
0.000 2.439 0.000
2.439 0.000 0.000
2.439 2.439 2.439
0.000 0.000 0.000
```

Values from the calculation:
Calculated volume, Å³/atom: 23.2
Theoretical density, g/cm3: 3.5
Energy relative to the elements, uncorrected, meV/atom: -759
Energy above the lowest structure with this stoichiometry, eV/atom: 0.000

=====

LiHo3Ga: relaxed, GGA-PBE.

Structure (POSCAR):
```
LiHo3Ga
1.0
-1.871 -6.226 0.653
7.278 -2.360 -1.641
4.933 -0.524 9.144
Ho Li Ga
12 4 4
Cartesian
7.778 -8.260 7.196
4.276 -3.517 0.043
3.313 -6.279 3.640
8.780 -5.293 5.971
3.171 -6.921 7.054
2.562 -0.850 0.960
6.149 -5.212 2.332
6.064 -5.593 8.113
7.168 -2.189 1.101
1.559 -3.817 2.184
4.191 -3.898 5.824
7.027 -2.831 4.515
4.621 -2.408 9.071
2.294 -1.681 4.451
5.719 -6.701 -0.916
8.045 -7.429 3.705
6.925 -2.803 7.515
5.992 -6.197 5.173
3.414 -6.307 0.640
4.347 -2.913 2.982
```

Values from the calculation:
Calculated volume, Å³/atom: 25.6
Theoretical density, g/cm3: 7.4
E, eV per atom: -3.879

=====

Ba5Zn4In: relaxed, GGA-PBE.

Structure (POSCAR):
```
Ba5Zn4In
1.0
4.150 0.000 0.000
0.000 4.150 0.000
0.000 0.000 20.688
Ba Zn In
5 4 1
Cartesian
2.075 2.075 6.263
2.075 2.075 2.187
2.075 2.075 10.344
2.075 2.075 18.501
2.075 2.075 14.426
0.000 0.000 8.326
0.000 0.000 12.362
0.000 0.000 16.451
0.000 0.000 4.238
0.000 0.000 0.000
```

Values from the calculation:
Calculated volume, Å³/atom: 35.6
Theoretical density, g/cm3: 5.0
E, eV per atom: -1.955

=====

BaY2Tc: relaxed, GGA-PBE.

Structure (POSCAR):
```
BaY2Tc
1.0
5.463 0.066 -0.071
4.138 3.567 -0.071
2.718 1.029 7.077
Ba Y Tc
1 2 1
Cartesian
6.846 2.591 3.222
9.347 3.537 0.659
9.421 3.565 5.742
2.465 0.933 0.636
```

Values from the calculation:
Calculated volume, Å³/atom: 34.2
Theoretical density, g/cm3: 5.0
Energy above the lowest structure with this stoichiometry, eV/atom: 0.210

=====

AsC2: relaxed, GGA-PBE.

Structure (POSCAR):
```
AsC2
1.0
-1.308 -7.265 -2.287
1.580 -0.843 1.776
-2.397 -0.208 2.034
C As
4 2
Cartesian
-1.465 -1.585 0.551
-0.796 -2.678 1.227
-2.240 -5.888 -0.804
-1.330 -5.639 0.295
0.000 0.000 0.000
0.136 -4.054 -0.256
```

Values from the calculation:
Calculated volume, Å³/atom: 10.2
Theoretical density, g/cm3: 5.4
Energy above the lowest structure with this stoichiometry, eV/atom: 0.442

=====

MgMn2Si: relaxed, GGA-PBE.

Structure (POSCAR):
```
MgMn2Si
1.0
4.495 0.008 0.014
3.693 2.563 0.014
0.879 0.276 4.646
Mn Si Mg
2 1 1
Cartesian
4.440 1.394 2.463
0.972 0.305 4.520
6.800 2.135 3.505
2.267 0.712 1.168
```

Values from the calculation:
Calculated volume, Å³/atom: 13.3
Theoretical density, g/cm3: 5.1
Energy relative to the elements, uncorrected, meV/atom: 129

=====

Mg2GaSnH: relaxed, GGA-PBE.

Structure (POSCAR):
```
Mg2GaSnH
1.0
-2.300 -3.285 1.976
-1.270 -1.521 -4.007
3.606 -2.615 -0.151
Mg H Ga Sn
2 1 1 1
Cartesian
-0.635 -0.760 -2.003
-1.150 -1.642 0.988
0.000 0.000 0.000
1.803 -1.308 -0.075
0.018 -3.710 -1.091
```

Values from the calculation:
Calculated volume, Å³/atom: 17.8
Theoretical density, g/cm3: 4.4
E, eV per atom: -2.733

=====

Na2TaTlBr8: relaxed, GGA-PBE.

Structure (POSCAR):
```
Na2TaTlBr8
1.0
-1.552 -6.194 3.947
-2.045 -1.992 -6.346
7.105 -6.295 -0.539
Br Na Tl Ta
8 2 1 1
Cartesian
-0.733 -3.261 -4.579
-2.556 -6.019 -1.655
1.937 -9.309 -1.213
1.571 -5.172 -1.725
3.121 -7.947 -5.234
0.388 -6.534 2.296
4.241 -11.220 1.641
6.065 -8.462 -1.283
3.455 -7.180 -2.261
0.053 -7.301 -0.677
3.553 -3.148 -0.269
0.000 0.000 0.000
```

Values from the calculation:
Calculated volume, Å³/atom: 37.8
Theoretical density, g/cm3: 3.9
Energy relative to the elements, uncorrected, meV/atom: -1065

=====

TbSm3Ni2: relaxed, GGA-PBE.

Structure (POSCAR):
```
TbSm3Ni2
1.0
-3.489 0.764 -1.638
-5.237 0.314 6.586
-0.837 9.820 1.651
Sm Ni Tb
6 4 2
Cartesian
-3.961 6.008 1.812
-6.140 1.285 4.250
-5.602 4.890 4.787
-6.084 7.802 7.171
-3.423 9.613 2.350
-3.479 3.096 -0.572
-4.893 1.204 1.556
-7.923 6.281 5.665
-4.670 9.694 5.043
-1.640 4.617 0.934
-6.523 8.181 3.571
-3.040 2.717 3.028
```

Values from the calculation:
Calculated volume, Å³/atom: 25.8
Theoretical density, g/cm3: 7.8
E, eV per atom: -5.306

=====

AcTbIn2Te4: relaxed, GGA-PBE.

Structure (POSCAR):
```
AcTbIn2Te4
1.0
4.598 0.000 0.000
0.000 8.519 -0.372
0.000 2.797 7.489
In Te Tb Ac
2 4 1 1
Cartesian
2.299 1.399 3.744
0.000 2.797 7.489
0.000 8.291 5.264
4.598 3.026 1.853
2.299 6.921 1.796
2.299 4.395 5.321
0.000 5.658 3.558
2.299 4.260 -0.186
```

Values from the calculation:
Calculated volume, Å³/atom: 37.3
Theoretical density, g/cm3: 6.3
Energy relative to the elements, uncorrected, meV/atom: -1002

=====

KCdMo2: relaxed, GGA-PBE.

Structure (POSCAR):
```
KCdMo2
1.0
-2.302 -0.383 1.444
-0.263 -1.664 -2.166
4.911 -8.153 5.668
Mo Cd K
2 1 1
Cartesian
2.302 -3.822 2.656
0.154 -0.255 0.177
-0.055 -3.062 1.056
2.401 -7.138 3.889
```

Values from the calculation:
Calculated volume, Å³/atom: 20.2
Theoretical density, g/cm3: 7.1
E, eV per atom: -4.927

=====

Dy2InTcC: relaxed, GGA-PBE.

Structure (POSCAR):
```
Dy2InTcC
1.0
-3.907 -0.985 -0.094
0.966 -4.091 2.688
-0.752 2.583 4.201
Tc Dy C In
1 2 1 1
Cartesian
-1.954 -0.492 -0.047
-0.376 1.291 2.101
0.483 -2.045 1.344
0.000 0.000 0.000
-1.847 -1.246 3.397
```

Values from the calculation:
Calculated volume, Å³/atom: 20.1
Theoretical density, g/cm3: 9.1
E, eV per atom: -6.692

=====

ZrAs2Os: relaxed, GGA-PBE.

Structure (POSCAR):
```
ZrAs2Os
1.0
4.649 0.000 0.000
2.325 4.026 0.000
2.325 1.342 3.796
As Zr Os
2 1 1
Cartesian
2.325 1.342 0.949
0.000 0.000 0.000
6.974 4.026 2.847
4.649 2.684 1.898
```

Values from the calculation:
Calculated volume, Å³/atom: 17.8
Theoretical density, g/cm3: 10.1
Energy above the lowest structure with this stoichiometry, eV/atom: 0.507

=====

DyScBeAl: relaxed, GGA-PBE.

Structure (POSCAR):
```
DyScBeAl
1.0
-1.028 -2.951 3.673
3.337 -0.927 3.355
-0.500 1.778 4.454
Dy Be Sc Al
1 1 1 1
Cartesian
0.000 0.000 0.000
1.357 -1.574 8.612
0.904 -1.050 5.741
0.452 -0.525 2.871
```

Values from the calculation:
Calculated volume, Å³/atom: 19.8
Theoretical density, g/cm3: 5.1
E, eV per atom: -4.766

=====

GeB2C: relaxed, GGA-PBE.

Structure (POSCAR):
```
GeB2C
1.0
0.173 -3.769 0.538
-0.762 -1.472 3.432
-3.200 -1.995 0.550
B Ge C
2 1 1
Cartesian
-2.842 -5.427 3.390
-0.947 -1.809 1.130
-1.895 -3.618 2.260
0.000 0.000 0.000
```

Values from the calculation:
Calculated volume, Å³/atom: 9.8
Theoretical density, g/cm3: 4.5
Energy above the lowest structure with this stoichiometry, eV/atom: 1.871

=====

BaPPbO2: relaxed, GGA-PBE.

Structure (POSCAR):
```
BaPPbO2
1.0
4.397 0.000 0.000
0.000 7.978 0.000
0.000 0.000 4.397
P O Pb Ba
1 2 1 1
Cartesian
2.199 3.989 2.199
2.199 0.000 0.000
0.000 0.000 2.199
0.000 0.000 0.000
0.000 3.989 0.000
```

Values from the calculation:
Calculated volume, Å³/atom: 30.9
Theoretical density, g/cm3: 4.4
Energy relative to the elements, uncorrected, meV/atom: -140
Energy above the lowest structure with this stoichiometry, eV/atom: 0.577

=====

Li2AsW: relaxed, GGA-PBE.

Structure (POSCAR):
```
Li2AsW
1.0
-3.251 -2.659 2.623
-3.225 -3.756 0.116
2.089 -4.341 1.922
Li As W
2 1 1
Cartesian
-1.267 -2.420 1.046
0.035 -0.456 0.200
-3.489 -7.514 3.251
-1.860 -5.744 2.494
```

Values from the calculation:
Calculated volume, Å³/atom: 15.5
Theoretical density, g/cm3: 7.3
E, eV per atom: -5.242